# Sr4GeBr4

Crystalline Sr4GeBr4 at its relaxed geometry (GGA-PBE, the Alexandria database).

Cell: 15.412 4.605 11.049 Å, 90.00 119.76 90.00°
Space group C2/m (No. 12)
Asymmetric unit:
Sr  0.081  0.000  0.399
Sr  0.190  0.500  0.780
Ge  0.000  0.500  0.500
Br  0.122  0.000  0.909
Br  0.202  0.500  0.306

Results
Energy relative to the elements, uncorrected, eV/atom: -1.616

***

# BBr2Cl

Crystalline BBr2Cl at its relaxed geometry (GGA-PBE, the Alexandria database).

Cell: 4.7948 4.7948 21.9401 Å, 90.00 90.00 120.00°
Space group R-3m (No. 166, hexagonal axes)
Asymmetric unit:
B  0.0000  0.0000  0.0000
Br  0.0000  0.0000  0.0808
Cl  0.0000  0.0000  0.5000

Results
Energy relative to the elements, uncorrected, eV/atom: 0.074

***

# SmDyMnAu

Crystalline SmDyMnAu at its relaxed geometry (GGA-PBE, the Alexandria database).

Cell: 7.228 7.228 7.228 Å, 90.00 90.00 90.00°
Space group F-43m (No. 216)
Asymmetric unit:
Sm  0.000  0.000  0.000
Dy  0.000  0.000  0.500
Mn  0.250  0.250  0.250
Au  0.250  0.250  0.750

Results
Energy of formation, eV/atom: -0.23

***

# Tl2InFe

Crystalline Tl2InFe at its relaxed geometry (GGA-PBE, the Alexandria database).

Cell: 6.296 10.787 3.266 Å, 90.00 119.35 90.00°
Space group C2/m (No. 12)
Asymmetric unit:
Tl  0.250  0.250  0.000
In  0.000  0.000  0.500
Fe  0.000  0.500  0.500

Results
Energy of formation, eV/atom: 0.53

***

# LaTb3Dy6Th2

Crystalline LaTb3Dy6Th2 at its relaxed geometry (GGA-PBE, the Alexandria database).

Cell: 6.203 10.737 11.749 Å, 90.00 100.15 90.00°
Space group C2/m (No. 12)
Asymmetric unit:
La  0.000  0.000  0.000
Tb  0.000  0.166  0.500
Tb  0.000  0.500  0.500
Dy  0.245  0.500  0.249
Dy  0.247  0.331  0.751
Th  0.000  0.333  0.000

Results
Energy of formation, eV/atom: 0.03

***

# Pm6AgRu2Cl3

Crystalline Pm6AgRu2Cl3 at its relaxed geometry (GGA-PBE, the Alexandria database).

Cell: 7.095 12.338 7.951 Å, 90.00 106.99 90.00°
Space group C2/m (No. 12)
Asymmetric unit:
Pm  0.206  0.000  0.208
Pm  0.249  0.319  0.209
Ag  0.000  0.500  0.000
Ru  0.000  0.166  0.000
Cl  0.000  0.000  0.500
Cl  0.000  0.325  0.500

Results
Energy relative to the elements, uncorrected, eV/atom: -0.900

***

# Tb4Nd3Y4

Crystalline Tb4Nd3Y4 at its relaxed geometry (GGA-PBE, the Alexandria database).

Cell: 3.552 11.370 18.607 Å, 90.00 90.00 90.00°
Space group Immm (No. 71)
Asymmetric unit:
Tb  0.000  0.246  0.172
Nd  0.000  0.000  0.392
Nd  0.000  0.500  0.500
Y  0.000  0.287  0.000
Y  0.000  0.500  0.283

Results
Energy of formation, eV/atom: 0.17

***

# SmURh2

Crystalline SmURh2 at its relaxed geometry (GGA-PBE, the Alexandria database).

Cell: 3.414 3.414 7.129 Å, 90.00 90.00 90.00°
Space group P4/mmm (No. 123)
Asymmetric unit:
Sm  0.000  0.000  0.000
U  0.000  0.000  0.500
Rh  0.500  0.500  0.283

Results
Energy of formation, eV/atom: -0.54

***

# Dy2BC3

Crystalline Dy2BC3 at its relaxed geometry (GGA-PBE, the Alexandria database).

Cell: 6.810 7.671 10.982 Å, 90.00 90.00 90.00°
Space group Fmmm (No. 69)
Asymmetric unit:
Dy  0.211  0.000  0.000
Dy  0.250  0.250  0.250
B  0.000  0.000  0.342
C  0.000  0.000  0.203
C  0.000  0.170  0.434

Results
Energy of formation, eV/atom: -0.17

***

# PrNdYMg

Crystalline PrNdYMg at its relaxed geometry (GGA-PBE, the Alexandria database).

Cell: 3.716 3.716 9.224 Å, 90.00 90.00 90.00°
Space group P4mm (No. 99)
Asymmetric unit:
Pr  0.000  0.000  0.000
Nd  0.500  0.500  0.278
Y  0.000  0.000  0.546
Mg  0.500  0.500  0.764

Results
Energy of formation, eV/atom: -0.04

***

# PmInCo2H8

Crystalline PmInCo2H8 at its relaxed geometry (GGA-PBE, the Alexandria database).

Cell: 4.2789 4.2789 6.6067 Å, 90.00 90.00 120.00°
Space group P-3 (No. 147)
Asymmetric unit:
Pm  0.0000  0.0000  0.0000
In  0.0000  0.0000  0.5000
Co  0.3333  0.6667  0.7086
H  0.0516  0.6541  0.2706
H  0.3333  0.6667  0.9391

Results
Total energy, eV per cell: -48.45

***

# NaFeAg3

Crystalline NaFeAg3 at its relaxed geometry (GGA-PBE, the Alexandria database).

Cell: 4.830 4.830 4.830 Å, 90.00 90.00 90.00°
Space group Pm-3m (No. 221)
Asymmetric unit:
Na  0.000  0.000  0.000
Fe  0.500  0.500  0.500
Ag  0.000  0.000  0.500

Results
Energy of formation, eV/atom: 1.23

***

Number 1: M_tot 0.000 μB/cell. Number 2: M_tot 0.000 μB/cell. Number 3: M_tot 13.210 μB/cell. Number 4: M_tot 5.936 μB/cell. Number 5: M_tot 0.000 μB/cell. Number 6: M_tot 0.000 μB/cell. Number 7: M_tot 0.000 μB/cell. Number 8: M_tot 1.769 μB/cell. Number 9: M_tot 0.000 μB/cell. Number 10: M_tot 0.000 μB/cell. Number 11: M_tot 0.000 μB/cell. Number 12: M_tot 3.140 μB/cell.